[1]
Material: Pa2Ni3Ge4Ru
Method: DFT, GGA-PBE
State: relaxed

V = 164 Å³/cell
Energy relative to the elements = -0.59 eV per atom
E = -6.996 eV/atom

a = 4.117 Å, b = 4.117 Å, c = 9.690 Å
α = 90.00°, β = 90.00°, γ = 90.00°
Fractional coordinates of all 10 atoms:
Pa1 0.000 0.500 0.250
Pa2 0.500 0.000 0.750
Ni1 0.000 0.000 0.000
Ni2 0.000 0.500 0.623
Ni3 0.500 0.000 0.377
Ge1 0.000 0.000 0.500
Ge2 0.000 0.500 0.861
Ge3 0.500 0.000 0.139
Ge4 0.500 0.500 0.500
Ru1 0.500 0.500 0.000

=====

[2]
Material: Pa2SiNi4Ge3
Method: DFT, GGA-PBE
State: relaxed

V = 158 Å³/cell
ΔE_f (raw) = -63 kJ per mole of atoms
E = -6.788 eV/atom

a = 4.114 Å, b = 4.114 Å, c = 9.324 Å
α = 90.00°, β = 90.00°, γ = 90.00°
Fractional coordinates of all 10 atoms:
Pa1 0.000 0.500 0.246
Pa2 0.500 0.000 0.754
Si1 0.000 0.000 0.500
Ni1 0.000 0.000 0.000
Ni2 0.000 0.500 0.620
Ni3 0.500 0.000 0.380
Ni4 0.500 0.500 0.000
Ge1 0.000 0.500 0.869
Ge2 0.500 0.000 0.131
Ge3 0.500 0.500 0.500

=====

[3]
Material: Pa2Si3Ni4Ge
Method: DFT, GGA-PBE
State: relaxed

V = 153 Å³/cell
ΔE_f (raw) = -72 kJ per mole of atoms
E = -7.044 eV/atom

a = 4.047 Å, b = 4.047 Å, c = 9.314 Å
α = 90.00°, β = 90.00°, γ = 90.00°
Fractional coordinates of all 10 atoms:
Pa1 0.000 0.500 0.243
Pa2 0.500 0.000 0.757
Si1 0.000 0.500 0.873
Si2 0.500 0.000 0.127
Si3 0.500 0.500 0.500
Ni1 0.000 0.000 0.000
Ni2 0.000 0.500 0.629
Ni3 0.500 0.000 0.371
Ni4 0.500 0.500 0.000
Ge1 0.000 0.000 0.500

=====

> The highest V belongs to which entry?

Pa2Ni3Ge4Ru

=====

> Look up the V of the first one.

164 Å³/cell